No. 1
# Cs2Tl2Au2O, optimized geometry, DFT GGA-PBE
data_Cs2Tl2Au2O
_space_group_name_H-M_alt 'C 1 2/m 1'
_space_group_IT_number 12
_cell_length_a 13.1775
_cell_length_b 5.0632
_cell_length_c 8.8834
_cell_angle_alpha 90.00
_cell_angle_beta 131.00
_cell_angle_gamma 90.00
loop_
_space_group_symop_operation_xyz
'x,y,z'
'-x,-y,-z'
'-x,y,-z'
'x,-y,z'
'x+1/2,y+1/2,z'
'-x+1/2,-y+1/2,-z'
'-x+1/2,y+1/2,-z'
'x+1/2,-y+1/2,z'
loop_
_atom_site_label
_atom_site_fract_x
_atom_site_fract_y
_atom_site_fract_z
Cs1 0.0667 0.0000 0.2834
Tl1 0.2113 0.5000 0.1033
Au1 0.1315 0.5000 0.6880
O1 0.0000 0.5000 0.0000
# Formation energy (no corrections), eV per atom: -0.4905

***

No. 2
# CsTl2AuO, optimized geometry, DFT GGA-PBE
data_CsTl2AuO
_space_group_name_H-M_alt 'C m c m'
_space_group_IT_number 63
_space_group_name_Hall '-C 2c 2'
_cell_length_a 4.7795
_cell_length_b 13.4738
_cell_length_c 9.1064
_cell_angle_alpha 90.00
_cell_angle_beta 90.00
_cell_angle_gamma 90.00
loop_
_atom_site_label
_atom_site_fract_x
_atom_site_fract_y
_atom_site_fract_z
Cs1 0.0000 0.0486 0.2500
Tl1 0.0000 0.3371 0.0552
Au1 0.0000 0.2226 0.7500
O1 0.0000 0.5000 0.0000
# Formation energy (no corrections), eV per atom: -0.5222

***

No. 3
# Cs2TmAuO4, optimized geometry, DFT GGA-PBE
data_Cs2TmAuO4
_space_group_name_H-M_alt 'F d d d'
_space_group_IT_number 70
_cell_length_a 6.1339
_cell_length_b 14.5151
_cell_length_c 23.4260
_cell_angle_alpha 90.00
_cell_angle_beta 90.00
_cell_angle_gamma 90.00
loop_
_space_group_symop_operation_xyz
'x,y,z'
'-x,-y,-z'
'-x+1/4,-y+1/4,z'
'x+1/4,y+1/4,-z'
'x,-y+1/4,-z+1/4'
'-x,y+1/4,z+1/4'
'-x+1/4,y,-z+1/4'
'x+1/4,-y,z+1/4'
'x,y+1/2,z+1/2'
'-x,-y+1/2,-z+1/2'
'-x+1/4,-y+3/4,z+1/2'
'x+1/4,y+3/4,-z+1/2'
'x,-y+3/4,-z+3/4'
'-x,y+3/4,z+3/4'
'-x+1/4,y+1/2,-z+3/4'
'x+1/4,-y+1/2,z+3/4'
'x+1/2,y,z+1/2'
'-x+1/2,-y,-z+1/2'
'-x+3/4,-y+1/4,z+1/2'
'x+3/4,y+1/4,-z+1/2'
'x+1/2,-y+1/4,-z+3/4'
'-x+1/2,y+1/4,z+3/4'
'-x+3/4,y,-z+3/4'
'x+3/4,-y,z+3/4'
'x+1/2,y+1/2,z'
'-x+1/2,-y+1/2,-z'
'-x+3/4,-y+3/4,z'
'x+3/4,y+3/4,-z'
'x+1/2,-y+3/4,-z+1/4'
'-x+1/2,y+3/4,z+1/4'
'-x+3/4,y+1/2,-z+1/4'
'x+3/4,-y+1/2,z+1/4'
loop_
_atom_site_label
_atom_site_fract_x
_atom_site_fract_y
_atom_site_fract_z
Cs1 0.1250 0.1250 0.3098
Tm1 0.1250 0.1250 0.1250
Au1 0.1250 0.1250 0.6250
O1 0.1160 0.2768 0.8685
# Formation energy (no corrections), eV per atom: -1.4228

***

No. 4
# Cs2YAuO4, optimized geometry, DFT GGA-PBE
data_Cs2YAuO4
_space_group_name_H-M_alt 'F d d d'
_space_group_IT_number 70
_cell_length_a 6.2238
_cell_length_b 14.6717
_cell_length_c 24.0975
_cell_angle_alpha 90.00
_cell_angle_beta 90.00
_cell_angle_gamma 90.00
loop_
_space_group_symop_operation_xyz
'x,y,z'
'-x,-y,-z'
'-x+1/4,-y+1/4,z'
'x+1/4,y+1/4,-z'
'x,-y+1/4,-z+1/4'
'-x,y+1/4,z+1/4'
'-x+1/4,y,-z+1/4'
'x+1/4,-y,z+1/4'
'x,y+1/2,z+1/2'
'-x,-y+1/2,-z+1/2'
'-x+1/4,-y+3/4,z+1/2'
'x+1/4,y+3/4,-z+1/2'
'x,-y+3/4,-z+3/4'
'-x,y+3/4,z+3/4'
'-x+1/4,y+1/2,-z+3/4'
'x+1/4,-y+1/2,z+3/4'
'x+1/2,y,z+1/2'
'-x+1/2,-y,-z+1/2'
'-x+3/4,-y+1/4,z+1/2'
'x+3/4,y+1/4,-z+1/2'
'x+1/2,-y+1/4,-z+3/4'
'-x+1/2,y+1/4,z+3/4'
'-x+3/4,y,-z+3/4'
'x+3/4,-y,z+3/4'
'x+1/2,y+1/2,z'
'-x+1/2,-y+1/2,-z'
'-x+3/4,-y+3/4,z'
'x+3/4,y+3/4,-z'
'x+1/2,-y+3/4,-z+1/4'
'-x+1/2,y+3/4,z+1/4'
'-x+3/4,y+1/2,-z+1/4'
'x+3/4,-y+1/2,z+1/4'
loop_
_atom_site_label
_atom_site_fract_x
_atom_site_fract_y
_atom_site_fract_z
Cs1 0.1250 0.1250 0.3112
Y1 0.1250 0.1250 0.1250
Au1 0.1250 0.1250 0.6250
O1 0.1118 0.2772 0.8714
# Formation energy (no corrections), eV per atom: -1.3951

***

No. 5
# CsZnAuO2, optimized geometry, DFT GGA-PBE
data_CsZnAuO2
_space_group_name_H-M_alt 'C m m e'
_space_group_IT_number 67
_space_group_name_Hall '-C 2a 2'
_cell_length_a 5.8130
_cell_length_b 12.6499
_cell_length_c 5.5473
_cell_angle_alpha 90.00
_cell_angle_beta 90.00
_cell_angle_gamma 90.00
loop_
_atom_site_label
_atom_site_fract_x
_atom_site_fract_y
_atom_site_fract_z
Cs1 0.0000 0.2500 0.2342
Zn1 0.2500 0.0000 0.0000
Au1 0.0000 0.0000 0.5000
O1 0.0000 0.0846 0.8260
# Formation energy (no corrections), eV per atom: -0.9853

***

No. 6
# Cs2ZrAuO4, optimized geometry, DFT GGA-PBE
data_Cs2ZrAuO4
_space_group_name_H-M_alt 'F d d d'
_space_group_IT_number 70
_cell_length_a 5.7178
_cell_length_b 13.3102
_cell_length_c 22.3434
_cell_angle_alpha 90.00
_cell_angle_beta 90.00
_cell_angle_gamma 90.00
loop_
_space_group_symop_operation_xyz
'x,y,z'
'-x,-y,-z'
'-x+1/4,-y+1/4,z'
'x+1/4,y+1/4,-z'
'x,-y+1/4,-z+1/4'
'-x,y+1/4,z+1/4'
'-x+1/4,y,-z+1/4'
'x+1/4,-y,z+1/4'
'x,y+1/2,z+1/2'
'-x,-y+1/2,-z+1/2'
'-x+1/4,-y+3/4,z+1/2'
'x+1/4,y+3/4,-z+1/2'
'x,-y+3/4,-z+3/4'
'-x,y+3/4,z+3/4'
'-x+1/4,y+1/2,-z+3/4'
'x+1/4,-y+1/2,z+3/4'
'x+1/2,y,z+1/2'
'-x+1/2,-y,-z+1/2'
'-x+3/4,-y+1/4,z+1/2'
'x+3/4,y+1/4,-z+1/2'
'x+1/2,-y+1/4,-z+3/4'
'-x+1/2,y+1/4,z+3/4'
'-x+3/4,y,-z+3/4'
'x+3/4,-y,z+3/4'
'x+1/2,y+1/2,z'
'-x+1/2,-y+1/2,-z'
'-x+3/4,-y+3/4,z'
'x+3/4,y+3/4,-z'
'x+1/2,-y+3/4,-z+1/4'
'-x+1/2,y+3/4,z+1/4'
'-x+3/4,y+1/2,-z+1/4'
'x+3/4,-y+1/2,z+1/4'
loop_
_atom_site_label
_atom_site_fract_x
_atom_site_fract_y
_atom_site_fract_z
Cs1 0.1250 0.1250 0.3062
Zr1 0.1250 0.1250 0.1250
Au1 0.1250 0.1250 0.6250
O1 0.0893 0.2810 0.4186
# Formation energy (no corrections), eV per atom: -1.5147

***

No. 7
# CsOs3Au, optimized geometry, DFT GGA-PBE
data_CsOs3Au
_space_group_name_H-M_alt 'P m -3 m'
_space_group_IT_number 221
_space_group_name_Hall '-P 4 2 3'
_cell_length_a 4.9260
_cell_length_b 4.9260
_cell_length_c 4.9260
_cell_angle_alpha 90.00
_cell_angle_beta 90.00
_cell_angle_gamma 90.00
loop_
_atom_site_label
_atom_site_fract_x
_atom_site_fract_y
_atom_site_fract_z
Cs1 0.0000 0.0000 0.0000
Os1 0.0000 0.0000 0.5000
Au1 0.5000 0.5000 0.5000
# E_form, meV/atom: 3984

***

No. 8
# CsOsAu2, optimized geometry, DFT GGA-PBE
data_CsOsAu2
_space_group_name_H-M_alt 'F m -3 m'
_space_group_IT_number 225
_space_group_name_Hall '-F 4 2 3'
_cell_length_a 7.1479
_cell_length_b 7.1479
_cell_length_c 7.1479
_cell_angle_alpha 90.00
_cell_angle_beta 90.00
_cell_angle_gamma 90.00
loop_
_atom_site_label
_atom_site_fract_x
_atom_site_fract_y
_atom_site_fract_z
Cs1 0.0000 0.0000 0.0000
Os1 0.0000 0.0000 0.5000
Au1 0.2500 0.2500 0.2500
# E_form, meV/atom: 1488

***

No. 9
# Cs2Os2Au, optimized geometry, DFT GGA-PBE
data_Cs2Os2Au
_space_group_name_H-M_alt 'P 4/m b m'
_space_group_IT_number 127
_space_group_name_Hall '-P 4 2ab'
_cell_length_a 6.8072
_cell_length_b 6.8072
_cell_length_c 5.9915
_cell_angle_alpha 90.00
_cell_angle_beta 90.00
_cell_angle_gamma 90.00
loop_
_atom_site_label
_atom_site_fract_x
_atom_site_fract_y
_atom_site_fract_z
Cs1 0.1853 0.3147 0.0000
Os1 0.1176 0.6176 0.5000
Au1 0.0000 0.0000 0.5000
# ΔE to the lowest computed polymorph, meV/atom: 0
# E_form, meV/atom: 1058

***

No. 10
# Cs3OsAu, optimized geometry, DFT GGA-PBE
data_Cs3OsAu
_space_group_name_H-M_alt 'P m -3 m'
_space_group_IT_number 221
_space_group_name_Hall '-P 4 2 3'
_cell_length_a 6.0224
_cell_length_b 6.0224
_cell_length_c 6.0224
_cell_angle_alpha 90.00
_cell_angle_beta 90.00
_cell_angle_gamma 90.00
loop_
_atom_site_label
_atom_site_fract_x
_atom_site_fract_y
_atom_site_fract_z
Cs1 0.0000 0.0000 0.5000
Os1 0.0000 0.0000 0.0000
Au1 0.5000 0.5000 0.5000
# E_form, meV/atom: 939

***

No. 11
# Cs2Os2Au, optimized geometry, DFT GGA-PBE
data_Cs2Os2Au
_space_group_name_H-M_alt 'I 4/m m m'
_space_group_IT_number 139
_space_group_name_Hall '-I 4 2'
_cell_length_a 7.0904
_cell_length_b 7.0904
_cell_length_c 7.5451
_cell_angle_alpha 90.00
_cell_angle_beta 90.00
_cell_angle_gamma 90.00
loop_
_atom_site_label
_atom_site_fract_x
_atom_site_fract_y
_atom_site_fract_z
Cs1 0.0000 0.5000 0.2500
Os1 0.0000 0.0000 0.1478
Au1 0.0000 0.0000 0.5000
# ΔE to the lowest computed polymorph, meV/atom: 360
# E_form, meV/atom: 1418

***

No. 12
# CsOsAu3, optimized geometry, DFT GGA-PBE
data_CsOsAu3
_space_group_name_H-M_alt 'P m -3 m'
_space_group_IT_number 221
_space_group_name_Hall '-P 4 2 3'
_cell_length_a 5.8758
_cell_length_b 5.8758
_cell_length_c 5.8758
_cell_angle_alpha 90.00
_cell_angle_beta 90.00
_cell_angle_gamma 90.00
loop_
_atom_site_label
_atom_site_fract_x
_atom_site_fract_y
_atom_site_fract_z
Cs1 0.0000 0.0000 0.0000
Os1 0.5000 0.5000 0.5000
Au1 0.0000 0.0000 0.5000
# ΔE to the lowest computed polymorph, meV/atom: 1907
# E_form, meV/atom: 2506